# 1
Compound: PrMgAu2
Source: the Alexandria database
Functional: PBE-GGA
Structure: optimized geometry

Cell and atoms, written as POSCAR:
```
PrMgAu2
1.0
3.513 0.000 0.000
0.000 3.513 0.000
0.000 0.000 7.173
Pr Mg Au
1 1 2
direct
0.500 0.500 0.500 Pr
0.500 0.500 0.000 Mg
0.000 0.000 0.215 Au
0.000 0.000 0.785 Au
```

Computed properties:
raw total energy = -3.889 eV per atom
energy of formation = -0.6568 eV per atom

# 2
Compound: Dy2HIr
Source: the Alexandria database
Functional: PBE-GGA
Structure: optimized geometry

Cell and atoms, written as POSCAR:
```
Dy2HIr
1.0
-3.426 0.877 2.151
-1.962 -2.994 2.078
2.160 0.682 7.145
Ir Dy H
1 2 1
direct
0.500 0.500 0.500 Ir
0.899 0.899 0.303 Dy
0.101 0.101 0.697 Dy
0.000 0.000 0.000 H
```

Computed properties:
raw total energy = -5.822 eV per atom

# 3
Compound: NdCuRh
Source: the Alexandria database
Functional: PBE-GGA
Structure: optimized geometry

Cell and atoms, written as POSCAR:
```
NdCuRh
1.0
-0.691 3.474 1.529
-4.148 -1.012 0.425
2.753 -0.852 3.179
Rh Nd Cu
1 1 1
direct
0.167 0.333 0.667 Rh
0.667 0.667 0.333 Nd
0.167 0.000 0.000 Cu
```

Computed properties:
raw total energy = -5.815 eV per atom
energy of formation = -0.4096 eV per atom
polymorph energy (0 for the lowest one) = 64 meV/atom

# 4
Compound: Cd2InTe
Source: the Alexandria database
Functional: PBE-GGA
Structure: optimized geometry

Cell and atoms, written as POSCAR:
```
Cd2InTe
1.0
6.780 0.022 0.018
4.070 5.423 -0.018
-5.389 -2.795 3.021
In Cd Te
1 2 1
direct
0.480 0.480 0.000 In
0.787 0.287 0.500 Cd
0.016 0.016 0.000 Cd
0.217 0.717 0.500 Te
```

Computed properties:
formation energy without anion corrections = -0.047 eV per atom
raw total energy = -1.975 eV per atom
polymorph energy (0 for the lowest one) = 30 meV/atom